(1)
Below is an optimized crystal structure of Pm2ZnP, with properties calculated at the GGA-PBE level.

Cell: 3.7032 3.7032 6.7641 Å, 90.00 90.00 90.00°
Closest atoms and distances in Å follow each position.
Space group P4/mmm (No. 123)
One atom of each set of equivalent atoms:
Pm 0.0000 0.0000 0.2350 [2 per cell]  4 P 3.06, 4 Zn 3.17, 1 Pm 3.18
Zn 0.5000 0.5000 0.5000 [1 per cell]  8 Pm 3.17, 2 P 3.38
P 0.5000 0.5000 0.0000 [1 per cell]  8 Pm 3.06, 2 Zn 3.38

The value obtained for the relative energy among the computed polymorphs is 0.1116 eV per atom. The formation energy from the elements is -71 kJ/mol of atoms.

***

(2)
Below is an optimized crystal structure of Pm2ZnP, with properties calculated at the GGA-PBE level.

Cell: 4.0694 4.0694 22.3092 Å, 90.00 90.00 120.00°
Closest atoms and distances in Å follow each position.
Space group R3m (No. 160, hexagonal axes)
One atom of each set of equivalent atoms:
Pm 0.0000 0.0000 0.0000 [3 per cell]  3 P 2.84, 3 Zn 3.15
Pm 0.0000 0.0000 0.1905 [3 per cell]  3 P 2.84
Zn 0.0000 0.0000 0.4276 [3 per cell]  6 Pm 3.15-3.18
P 0.0000 0.0000 0.5950 [3 per cell]  6 Pm 2.84

The value obtained for the relative energy among the computed polymorphs is 0.0497 eV per atom. The formation energy from the elements is -77 kJ/mol of atoms.

***

(3)
Below is an optimized crystal structure of PmZnP2, with properties calculated at the GGA-PBE level.

Cell: 4.4770 4.4770 3.7935 Å, 90.00 90.00 90.00°
Closest atoms and distances in Å follow each position.
Space group P4/mmm (No. 123)
One atom of each set of equivalent atoms:
Pm 0.0000 0.0000 0.0000 [1 per cell]  8 P 2.93, 4 Zn 3.17
Zn 0.5000 0.5000 0.0000 [1 per cell]  8 P 2.93, 4 Pm 3.17
P 0.0000 0.5000 0.5000 [2 per cell]  4 Pm 2.93, 4 Zn 2.93, 4 P 3.17

The value obtained for the relative energy among the computed polymorphs is 0.0000 eV per atom. The formation energy from the elements is -47 kJ/mol of atoms.

***

(4)
Below is an optimized crystal structure of PmZrP2, with properties calculated at the GGA-PBE level.

Cell: 4.8481 4.8481 3.3825 Å, 90.00 90.00 90.00°
Closest atoms and distances in Å follow each position.
Space group P4/mmm (No. 123)
One atom of each set of equivalent atoms:
Pm 0.0000 0.0000 0.0000 [1 per cell]  8 P 2.96
Zr 0.5000 0.5000 0.0000 [1 per cell]  8 P 2.96
P 0.0000 0.5000 0.5000 [2 per cell]  4 Zr 2.96, 4 Pm 2.96

The value obtained for the relative energy among the computed polymorphs is 0.6011 eV per atom. The formation energy from the elements is -82 kJ/mol of atoms.

***

The highest formation energy from the elements belongs to which entry? PmZnP2

***

The lowest formation energy from the elements belongs to which entry? PmZrP2

***

Which value of relative energy among the computed polymorphs does entry 2 give? 0.0497 eV per atom

***

Among the records above, which one has the lowest relative energy among the computed polymorphs? PmZnP2